[1]
The following is a DFT calculation (PBE) of an optimized crystal structure of La7Sm4Tm.

V in Å³ per cell: 433.1
E above lowest polymorph in meV/atom: 192
Raw total energy in Ha/atom: -0.170
Space-group type: C2/m (12)
D(E_F) in states/eV/f.u.: 20.5
Energy of formation in eV/atom: 0.207

abc: 6.136 9.926 8.843
angles: 60.44 69.70 72.00
Fractional coordinates of all 12 atoms:
La  0.796  0.875  0.534
La  0.793  0.219  0.196
Sm  0.573  0.301  0.553
Sm  0.327  0.394  0.952
Sm  0.673  0.606  0.048
La  0.082  0.567  0.269
Tm  0.000  0.000  0.000
La  0.500  0.000  0.000
La  0.207  0.781  0.804
La  0.918  0.433  0.731
Sm  0.427  0.699  0.447
La  0.204  0.125  0.466

[2]
The following is a DFT calculation (PBE) of an optimized crystal structure of La5SmTm2.

V in Å³ per cell: 563.8
E above lowest polymorph in meV/atom: 0
Raw total energy in Ha/atom: -0.171
Space-group type: I4/mcm (140)
D(E_F) in states/eV/f.u.: 12.5
Energy of formation in eV/atom: 0.133

abc: 9.362 9.362 9.231
angles: 120.47 120.47 90.00
Fractional coordinates of all 16 atoms:
La  0.000  0.000  0.000
La  0.314  0.814  0.333
Sm  0.750  0.750  0.500
Tm  0.647  0.147  0.000
La  0.018  0.518  0.333
Tm  0.853  0.647  0.000
La  0.186  0.982  0.667
La  0.814  0.018  0.333
La  0.482  0.686  0.667
La  0.518  0.314  0.333
La  0.500  0.500  0.000
Sm  0.250  0.250  0.500
La  0.982  0.482  0.667
Tm  0.147  0.353  0.000
Tm  0.353  0.853  0.000
La  0.686  0.186  0.667

[3]
The following is a DFT calculation (PBE) of an optimized crystal structure of La2Sm4Tm5.

V in Å³ per cell: 365.5
E above lowest polymorph in meV/atom: 42
Raw total energy in Ha/atom: -0.165
Space-group type: P2/m (10)
D(E_F) in states/eV/f.u.: 14.6
Energy of formation in eV/atom: 0.162

abc: 3.570 9.717 10.632
angles: 97.71 90.00 90.00
Fractional coordinates of all 11 atoms:
Sm  0.500  0.287  0.677
Tm  0.000  0.500  0.000
Sm  0.500  0.713  0.323
La  0.000  0.909  0.605
Tm  0.000  0.579  0.640
La  0.000  0.091  0.395
Sm  0.500  0.784  0.861
Tm  0.000  0.421  0.360
Sm  0.500  0.216  0.139
Tm  0.000  0.112  0.885
Tm  0.000  0.888  0.115

[4]
The following is a DFT calculation (PBE) of an optimized crystal structure of La3SmTm3.

V in Å³ per cell: 474.8
E above lowest polymorph in meV/atom: 0
Raw total energy in Ha/atom: -0.172
Space-group type: P2_1/m (11)
D(E_F) in states/eV/f.u.: 11.5
Energy of formation in eV/atom: 0.032

abc: 5.799 9.725 9.722
angles: 120.00 90.00 90.00
Fractional coordinates of all 14 atoms:
Tm  0.250  0.096  0.483
Tm  0.750  0.613  0.096
Tm  0.750  0.904  0.517
La  0.750  0.754  0.806
La  0.750  0.194  0.947
Tm  0.250  0.517  0.613
La  0.750  0.052  0.247
La  0.250  0.246  0.194
Sm  0.250  0.666  0.333
Tm  0.250  0.387  0.904
Tm  0.750  0.483  0.387
La  0.250  0.806  0.053
Sm  0.750  0.334  0.667
La  0.250  0.948  0.753

[5]
The following is a DFT calculation (PBE) of an optimized crystal structure of La2Sm5Tm4.

V in Å³ per cell: 366.3
E above lowest polymorph in meV/atom: 0
Raw total energy in Ha/atom: -0.169
Space-group type: C2/m (12)
D(E_F) in states/eV/f.u.: 14.8
Energy of formation in eV/atom: 0.067

abc: 3.545 11.690 9.039
angles: 94.02 101.31 90.00
Fractional coordinates of all 11 atoms:
Sm  0.094  0.537  0.188
Sm  0.906  0.463  0.812
Tm  0.031  0.256  0.062
La  0.282  0.646  0.564
Sm  0.176  0.067  0.352
Tm  0.969  0.744  0.938
Sm  0.500  0.000  0.000
La  0.718  0.354  0.436
Tm  0.639  0.798  0.277
Sm  0.824  0.933  0.648
Tm  0.361  0.202  0.723

[6]
The following is a DFT calculation (PBE) of an optimized crystal structure of LaSm3Tm6.

V in Å³ per cell: 648.1
E above lowest polymorph in meV/atom: 0
Raw total energy in Ha/atom: -0.163
Space-group type: Cmc2_1 (36)
D(E_F) in states/eV/f.u.: 12.2
Energy of formation in eV/atom: 0.144

abc: 8.996 8.971 8.971
angles: 116.47 90.00 90.00
Fractional coordinates of all 20 atoms:
La  0.991  0.232  0.768
Sm  0.425  0.539  0.461
Tm  0.605  0.164  0.291
Tm  0.105  0.836  0.709
Sm  0.441  0.312  0.028
Sm  0.925  0.461  0.539
Tm  0.275  0.529  0.830
Tm  0.605  0.709  0.836
Sm  0.441  0.972  0.688
Tm  0.275  0.170  0.471
Sm  0.941  0.028  0.312
Tm  0.775  0.830  0.529
Tm  0.635  0.298  0.702
Tm  0.105  0.291  0.164
Tm  0.291  0.945  0.055
Sm  0.941  0.688  0.972
Tm  0.775  0.471  0.170
La  0.491  0.768  0.232
Tm  0.791  0.055  0.945
Tm  0.135  0.702  0.298